{"formula": "SbTe3Os2", "functional": "PBE", "state": "relaxed", "cell": [[-4.398, -1.676, -2.740], [-0.079, -3.326, 2.161], [-3.781, 2.944, 4.392]], "species": ["Os", "Os", "Te", "Te", "Te", "Sb"], "frac_coords": [[0.500, 0.500, 0.503], [0.004, 0.000, 0.001], [0.283, 0.500, 0.139], [0.210, 0.000, 0.633], [0.720, 0.500, 0.865], [0.783, 0.000, 0.359]], "sg": "No. 6"}



{"formula": "PaB2Se2", "functional": "PBE", "state": "relaxed", "cell": [[3.350, 0.000, 0.000], [0.000, 11.507, 0.000], [0.000, 0.000, 4.050]], "species": ["Se", "Se", "Se", "Se", "B", "B", "B", "B", "Pa", "Pa"], "frac_coords": [[0.500, 0.873, 0.500], [0.500, 0.127, 0.500], [0.000, 0.627, 0.500], [0.000, 0.373, 0.500], [0.501, 0.771, 0.000], [0.001, 0.729, 0.000], [0.499, 0.229, 0.000], [0.999, 0.271, 0.000], [0.000, 0.000, 0.000], [0.500, 0.500, 0.000]], "sg": "No. 65"}



Electronic total energy per entry: -6.0351; -6.1016 eV per atom